First-principles (PBE+U) data for a geometry-optimized CdCo3F8 structure, as listed in the Alexandria database.

Unit cell a=4.0093 b=6.5531 c=6.5328 alpha=86.21 beta=107.87 gamma=90.00
Last column: magnetic moment on the atom in μB.
Atoms (fractional coordinates):
Co1 0.4210 0.2753 0.8419  2.81
Co2 0.7246 0.3067 0.4492  2.78
Co3 0.5446 0.7081 0.0892  2.80
F1 0.5672 0.3770 0.1343  0.08
F2 0.7094 0.9978 0.4189  0.03
F3 0.4376 0.9667 0.8753  0.06
F4 0.8929 0.2888 0.7858  0.08
F5 0.7158 0.6184 0.4316  0.06
F6 0.3945 0.5932 0.7889  0.06
F7 0.2527 0.2439 0.5054  0.07
F8 0.0796 0.7572 0.1592  0.04
Cd1 0.2584 0.8365 0.5169  0.00

## Properties
**Total magnetic moment**: 9.0 μB/cell
**Crystal system**: monoclinic
**VASP energy**: -56.00 eV/cell